Below is crystalline NaAlTl at its relaxed geometry, with properties calculated at the PBE level.

Structure (POSCAR):
```
NaAlTl
1.0
3.278 0.000 0.000
0.000 5.088 0.000
0.000 -2.544 4.407
Al Tl Na
1 1 1
direct
0.167 0.667 0.333 Al
0.167 0.000 0.000 Tl
0.666 0.333 0.667 Na
```

- Calculated volume: 73.49 Å³/f.u.
- Theoretical density: 5.75 g cm⁻³
- Total energy: -7.18 eV for the cell shown
- N(E_F): 1.28 states/eV/cell
- Energy relative to the elements: 0.08 eV/atom
- E above lowest polymorph: 0.00 eV per formula unit
- Magnetic moment: 0.0 Bohr magnetons per cell